Record 1
Entry from Alexandria via LeMat-Bulk: a relaxed Ac3SmY crystal (PBE).

```
Ac3SmY
1.0
-1.3783 6.1593 1.8612
-5.7947 0.9293 -7.3665
-10.1164 -4.4970 7.3905
Ac Sm Y
12 4 4
Direct
0.8542 0.7500 0.7500 Ac
0.1458 0.2500 0.2500 Ac
0.9105 0.6736 0.4294 Ac
0.3542 0.7500 0.2500 Ac
0.4105 0.8264 0.9294 Ac
0.0895 0.3264 0.5706 Ac
0.5895 0.3264 0.4294 Ac
0.6458 0.2500 0.7500 Ac
0.9105 0.8264 0.0706 Ac
0.5895 0.1736 0.0706 Ac
0.4105 0.6736 0.5706 Ac
0.0895 0.1736 0.9294 Ac
0.2500 0.5000 0.0573 Sm
0.7500 0.5000 0.9427 Sm
0.7500 0.0000 0.5573 Sm
0.2500 0.0000 0.4427 Sm
0.2500 0.0000 0.6961 Y
0.2500 0.5000 0.8039 Y
0.7500 0.0000 0.3039 Y
0.7500 0.5000 0.1961 Y
```

---

Record 2
Entry from Alexandria via LeMat-Bulk: a relaxed AcSm6Y crystal (PBE).

Results
Relative energy among the computed polymorphs   0.002 eV/atom

```
AcSm6Y
1.0
5.1887 0.0000 0.0000
0.0000 5.1887 0.0000
0.0000 0.0000 10.3565
Sm Y Ac
6 1 1
Direct
0.5000 0.0000 0.2571 Sm
0.0000 0.5000 0.2571 Sm
0.0000 0.5000 0.7429 Sm
0.5000 0.0000 0.7429 Sm
0.5000 0.5000 0.5000 Sm
0.5000 0.5000 0.0000 Sm
0.0000 0.0000 0.5000 Y
0.0000 0.0000 0.0000 Ac
```

---

Record 3
Entry from Alexandria via LeMat-Bulk: a relaxed AcSm4Y8 crystal (PBE).

```
AcSm4Y8
1.0
-1.1648 -7.1758 3.0952
7.8142 -0.9911 0.6202
-0.1825 3.1618 7.2387
Y Sm Ac
8 4 1
Direct
0.2379 0.7630 0.7630 Y
0.7630 0.7630 0.2379 Y
0.2370 0.7621 0.2370 Y
0.7627 0.7627 0.7627 Y
0.2370 0.2370 0.7621 Y
0.7621 0.2370 0.2370 Y
0.2373 0.2373 0.2373 Y
0.7630 0.2379 0.7630 Y
0.0000 0.0000 0.0000 Sm
0.5000 0.5000 0.0000 Sm
0.0000 0.5000 0.5000 Sm
0.5000 0.0000 0.5000 Sm
0.5000 0.5000 0.5000 Ac
```

---

Record 4
Entry from Alexandria via LeMat-Bulk: a relaxed Ac3Sm4Y2 crystal (PBE).

```
Ac3Sm4Y2
1.0
-4.8056 3.4445 -2.5924
-4.1468 -2.8183 -4.0776
-5.5346 -2.1538 7.0017
Y Ac Sm
2 3 4
Direct
0.3383 0.6589 0.6664 Y
0.6617 0.3411 0.3336 Y
0.3335 0.9984 0.3337 Ac
0.6665 0.0016 0.6663 Ac
0.0000 0.0000 0.0000 Ac
0.3305 0.3407 0.0003 Sm
0.6695 0.6593 0.9997 Sm
0.9959 0.3422 0.6664 Sm
0.0041 0.6578 0.3336 Sm
```

---

Record 5
Entry from Alexandria via LeMat-Bulk: a relaxed AcSm3Y3 crystal (PBE).

Results
Relative energy among the computed polymorphs   0.090 eV/atom

```
AcSm3Y3
1.0
-2.3598 3.9924 -5.3327
-5.3358 -2.9352 3.2856
3.5371 3.9083 4.4828
Sm Y Ac
3 3 1
Direct
0.9749 0.4254 0.0000 Sm
0.5494 0.5746 0.5746 Sm
0.9749 0.0000 0.4254 Sm
0.0046 0.5327 0.5327 Y
0.4720 0.4673 0.0000 Y
0.4720 0.0000 0.4673 Y
0.5273 0.0000 0.0000 Ac
```

---

Record 6
Entry from Alexandria via LeMat-Bulk: a relaxed AcSm2Y4 crystal (PBE).

Results
Relative energy among the computed polymorphs   0.125 eV/atom

```
AcSm2Y4
1.0
-2.9985 5.5769 2.9350
3.9213 -4.5619 3.5384
4.5442 2.8351 -4.4744
Y Sm Ac
4 2 1
Direct
0.1961 0.8039 0.0000 Y
0.8039 0.1961 0.0000 Y
0.1961 0.1961 0.3921 Y
0.8039 0.8039 0.6079 Y
0.7500 0.2500 0.5000 Sm
0.2500 0.7500 0.5000 Sm
0.5000 0.5000 0.0000 Ac
```

---

Record 7
Entry from Alexandria via LeMat-Bulk: a relaxed Ac3Sm4Y4 crystal (PBE).

```
Ac3Sm4Y4
1.0
-0.4344 -3.6268 0.2049
2.0383 0.0651 5.4781
-16.4976 0.6517 9.2398
Ac Sm Y
3 4 4
Direct
0.0000 0.0000 0.0000 Ac
0.1377 0.6373 0.7260 Ac
0.8623 0.3627 0.2740 Ac
0.7347 0.7349 0.5305 Sm
0.4080 0.9078 0.1831 Sm
0.2653 0.2651 0.4695 Sm
0.5920 0.0922 0.8169 Sm
0.3170 0.8170 0.3652 Y
0.6830 0.1830 0.6347 Y
0.4536 0.4536 0.0916 Y
0.5464 0.5464 0.9085 Y
```

---

Record 8
Entry from Alexandria via LeMat-Bulk: a relaxed AcSm3Y6 crystal (PBE).

Results
Relative energy among the computed polymorphs   0.000 eV/atom

```
AcSm3Y6
1.0
9.0694 0.0000 0.0000
0.0000 9.1490 -1.1078
0.0000 -3.1215 8.6711
Y Ac Sm
12 2 6
Direct
0.1658 0.8162 0.5305 Y
0.6658 0.5305 0.8162 Y
0.1658 0.4695 0.1838 Y
0.9543 0.7878 0.2122 Y
0.4543 0.2122 0.7878 Y
0.8208 0.9696 0.6760 Y
0.6658 0.1838 0.4695 Y
0.8208 0.3240 0.0304 Y
0.1809 0.0478 0.9522 Y
0.6809 0.9522 0.0478 Y
0.3208 0.0304 0.3240 Y
0.3208 0.6760 0.9696 Y
0.5795 0.7237 0.2763 Ac
0.0795 0.2763 0.7237 Ac
0.4919 0.8097 0.6937 Sm
0.8135 0.5497 0.4503 Sm
0.9919 0.1903 0.3063 Sm
0.3135 0.4503 0.5497 Sm
0.4919 0.3063 0.1903 Sm
0.9919 0.6937 0.8097 Sm
```

---

Record 9
Entry from Alexandria via LeMat-Bulk: a relaxed Ac2Sm8Y3 crystal (PBE).

Results
Relative energy among the computed polymorphs   0.027 eV/atom

```
Ac2Sm8Y3
1.0
5.5641 0.0000 0.7722
0.0000 7.8088 0.0001
-1.5029 -3.9042 10.8188
Sm Ac Y
8 2 3
Direct
0.4999 0.6067 0.7965 Sm
0.9998 0.3443 0.6888 Sm
0.4999 0.1897 0.7965 Sm
0.5001 0.3933 0.2035 Sm
0.5001 0.8103 0.2035 Sm
0.0001 0.8788 0.7575 Sm
0.9999 0.1212 0.2425 Sm
0.0002 0.6557 0.3112 Sm
0.5004 0.7604 0.5208 Ac
0.4996 0.2396 0.4792 Ac
0.0000 0.7111 0.0000 Y
0.0000 0.2889 0.0000 Y
0.5000 0.0000 0.0000 Y
```

---

Record 10
Entry from Alexandria via LeMat-Bulk: a relaxed AcSm5Y2 crystal (PBE).

Results
Relative energy among the computed polymorphs   0.119 eV/atom

```
AcSm5Y2
1.0
-1.6539 -2.0674 -9.4214
4.8860 4.7576 -1.9017
1.7276 -9.5435 6.8736
Sm Y Ac
10 4 2
Direct
0.6958 0.1561 0.6565 Sm
0.6474 0.5415 0.2929 Sm
0.0394 0.3439 0.3435 Sm
0.3545 0.9585 0.7071 Sm
0.0000 0.7500 0.0000 Sm
0.3526 0.4585 0.7071 Sm
0.9606 0.6561 0.6565 Sm
0.0000 0.2500 0.0000 Sm
0.6455 0.0415 0.2929 Sm
0.3042 0.8439 0.3435 Sm
0.7001 0.5237 0.0236 Y
0.2999 0.4763 0.9764 Y
0.3235 0.0237 0.0236 Y
0.6765 0.9763 0.9764 Y
0.0000 0.0000 0.5000 Ac
0.5000 0.5000 0.5000 Ac
```

---

Record 11
Entry from Alexandria via LeMat-Bulk: a relaxed Ac3Sm6Y2 crystal (PBE).

```
Ac3Sm6Y2
1.0
-1.6862 -3.3314 -0.1626
2.0382 -3.1095 -0.3802
2.1956 -4.8031 32.6842
Sm Y Ac
6 2 3
Direct
0.1814 0.1814 0.4558 Sm
0.6356 0.6356 0.0932 Sm
0.8186 0.8186 0.5442 Sm
0.3644 0.3644 0.9068 Sm
0.9063 0.9063 0.2810 Sm
0.0937 0.0937 0.7190 Sm
0.5439 0.5439 0.3682 Y
0.4561 0.4561 0.6318 Y
0.0000 0.0000 0.0000 Ac
0.7289 0.7289 0.8132 Ac
0.2711 0.2711 0.1868 Ac
```

---

Record 12
Entry from Alexandria via LeMat-Bulk: a relaxed Ac4Sm3Y4 crystal (PBE).

```
Ac4Sm3Y4
1.0
-2.0494 -3.0831 0.2177
3.1558 -1.7761 4.5480
-13.5606 9.7028 9.4892
Ac Sm Y
4 3 4
Direct
0.7275 0.7205 0.4412 Ac
0.2279 0.2786 0.5566 Ac
0.7262 0.0896 0.1796 Ac
0.2287 0.9073 0.8144 Ac
0.2257 0.0007 0.0013 Sm
0.2266 0.6335 0.2673 Sm
0.7284 0.3662 0.7321 Sm
0.2266 0.5426 0.0858 Y
0.2271 0.1792 0.3584 Y
0.7264 0.4621 0.9235 Y
0.7287 0.8199 0.6397 Y
```

---

Record 13
Entry from Alexandria via LeMat-Bulk: a relaxed AcSm2Zn crystal (PBE).

Results
Relative energy among the computed polymorphs   0.112 eV/atom

```
AcSm2Zn
1.0
3.8061 0.0000 0.0000
1.9031 3.2962 0.0000
1.9031 1.0987 10.5788
Sm Ac Zn
2 1 1
Direct
0.0669 0.0669 0.7993 Sm
0.2662 0.2662 0.2014 Sm
0.5007 0.5007 0.4980 Ac
0.6662 0.6662 0.0014 Zn
```

---

Record 14
Entry from Alexandria via LeMat-Bulk: a relaxed Ac3SmZn2 crystal (PBE).

```
Ac3SmZn2
1.0
3.9161 0.0000 0.0000
0.0000 3.9161 0.0000
0.0000 0.0000 13.0124
Ac Sm Zn
3 1 2
Direct
0.0000 0.0000 0.7026 Ac
0.0000 0.0000 0.2974 Ac
0.0000 0.0000 0.0000 Ac
0.5000 0.5000 0.5000 Sm
0.5000 0.5000 0.8481 Zn
0.5000 0.5000 0.1519 Zn
```

---

Record 15
Entry from Alexandria via LeMat-Bulk: a relaxed AcSm2Zn crystal (PBE).

Results
Relative energy among the computed polymorphs   0.000 eV/atom

```
AcSm2Zn
1.0
3.7292 0.0000 0.0000
0.0000 3.7292 0.0000
0.0000 0.0000 8.9859
Sm Ac Zn
2 1 1
Direct
0.0000 0.0000 0.8046 Sm
0.0000 0.0000 0.1954 Sm
0.5000 0.5000 0.5000 Ac
0.5000 0.5000 0.0000 Zn
```

---

Record 16
Entry from Alexandria via LeMat-Bulk: a relaxed Ac2SmZn4 crystal (PBE).

```
Ac2SmZn4
1.0
5.2084 0.0000 -1.6603
-0.5293 5.1815 -1.6603
-0.4184 -0.4633 7.6871
Ac Zn Sm
2 4 1
Direct
0.7163 0.7163 0.4327 Ac
0.2837 0.2837 0.5673 Ac
0.5992 0.0992 0.1985 Zn
0.0992 0.5992 0.1985 Zn
0.4008 0.9008 0.8015 Zn
0.9008 0.4008 0.8015 Zn
0.0000 0.0000 0.0000 Sm
```

---

Record 17
Entry from Alexandria via LeMat-Bulk: a relaxed Ac2SmZn3 crystal (PBE).

```
Ac2SmZn3
1.0
-0.6244 2.9382 -2.3569
0.0231 -2.3860 -2.9807
-11.3182 -1.5077 1.1191
Zn Ac Sm
3 2 1
Direct
0.0000 0.0000 0.6423 Zn
0.0000 0.0000 0.0000 Zn
0.0000 0.0000 0.3577 Zn
0.5000 0.5000 0.8244 Ac
0.5000 0.5000 0.1756 Ac
0.5000 0.5000 0.5000 Sm
```

---

Record 18
Entry from Alexandria via LeMat-Bulk: a relaxed AcSmZn2 crystal (PBE).

```
AcSmZn2
1.0
-0.2967 -1.6004 3.4039
-1.4085 -3.1188 -1.5891
6.9906 -2.7974 -0.7058
Zn Sm Ac
2 1 1
Direct
0.0000 0.0000 0.7806 Zn
0.0000 0.0000 0.2194 Zn
0.5000 0.5000 0.0000 Sm
0.5000 0.5000 0.5000 Ac
```

---

Record 19
Entry from Alexandria via LeMat-Bulk: a relaxed AcSm2Zn crystal (PBE).

Results
Relative energy among the computed polymorphs   0.261 eV/atom

```
AcSm2Zn
1.0
-3.5166 0.8763 -0.4852
-2.2289 0.2814 2.8849
0.7724 11.7091 1.7719
Zn Sm Ac
1 2 1
Direct
0.5000 0.5000 0.5000 Zn
0.1042 0.1042 0.6873 Sm
0.8958 0.8958 0.3127 Sm
0.0000 0.0000 0.0000 Ac
```

---

Record 20
Entry from Alexandria via LeMat-Bulk: a relaxed AcSmZn2 crystal (PBE).

```
AcSmZn2
1.0
-2.6833 -2.5526 1.0777
-1.1105 -2.7757 -2.4371
5.3010 -7.2897 2.8348
Ac Zn Sm
1 2 1
Direct
0.5000 0.5000 0.5000 Ac
0.7441 0.7441 0.7678 Zn
0.2559 0.2559 0.2322 Zn
0.0000 0.0000 0.0000 Sm
```

---

Number 1: size of the total moment 0.00 μB/f.u., energy of formation from the pure elements 178 meV per atom. Number 2: size of the total moment 0.00 μB/f.u., energy of formation from the pure elements 33 meV per atom. Number 3: size of the total moment 2.77 μB/f.u., energy of formation from the pure elements 524 meV per atom. Number 4: size of the total moment 0.00 μB/f.u., energy of formation from the pure elements 43 meV per atom. Number 5: size of the total moment 0.00 μB/f.u., energy of formation from the pure elements 304 meV per atom. Number 6: size of the total moment 0.00 μB/f.u., energy of formation from the pure elements 206 meV per atom. Number 7: size of the total moment 0.00 μB/f.u., energy of formation from the pure elements 58 meV per atom. Number 8: size of the total moment 0.00 μB/f.u., energy of formation from the pure elements 129 meV per atom. Number 9: size of the total moment 0.00 μB/f.u., energy of formation from the pure elements 214 meV per atom. Number 10: size of the total moment 0.00 μB/f.u., energy of formation from the pure elements 147 meV per atom. Number 11: size of the total moment 0.00 μB/f.u., energy of formation from the pure elements 44 meV per atom. Number 12: size of the total moment 0.00 μB/f.u., energy of formation from the pure elements 57 meV per atom. Number 13: size of the total moment 0.00 μB/f.u., energy of formation from the pure elements -21 meV per atom. Number 14: size of the total moment 0.00 μB/f.u., energy of formation from the pure elements -148 meV per atom. Number 15: size of the total moment 0.00 μB/f.u., energy of formation from the pure elements -133 meV per atom. Number 16: size of the total moment 0.00 μB/f.u., energy of formation from the pure elements -125 meV per atom. Number 17: size of the total moment 0.00 μB/f.u., energy of formation from the pure elements -256 meV per atom. Number 18: size of the total moment 0.00 μB/f.u., energy of formation from the pure elements -267 meV per atom. Number 19: size of the total moment 0.00 μB/f.u., energy of formation from the pure elements 128 meV per atom. Number 20: size of the total moment 0.00 μB/f.u., energy of formation from the pure elements -59 meV per atom.